Here is a relaxed structure of Na6SrCa from the Alexandria database. Energies are from PBE-GGA.

Results
- Theoretical density: 1.4 g cm⁻³
- DOS(E_F): 5.7 states/eV/cell
- Energy above the lowest structure with this stoichiometry: 46 meV per atom
- Energy relative to the elements: 99 meV/atom
- E: -1.351 eV/atom

Lattice parameters (Å, degrees): 6.872 6.872 6.872 90.00 90.00 90.00
Fractional positions:
1 Na 0.000 0.255 0.500
2 Na 0.000 0.745 0.500
3 Na 0.255 0.500 0.000
4 Na 0.500 0.000 0.255
5 Na 0.500 0.000 0.745
6 Na 0.745 0.500 0.000
7 Sr 0.000 0.000 0.000
8 Ca 0.500 0.500 0.500

Here is a relaxed structure of NaSr6Ca12 from the Alexandria database. Energies are from PBE-GGA.

Results
- Theoretical density: 1.9 g cm⁻³
- DOS(E_F): 21.9 states/eV/cell
- Energy relative to the elements: 87 meV/atom
- E: -1.778 eV/atom

Lattice parameters (Å, degrees): 9.624 9.624 9.624 90.44 90.44 90.44
Fractional positions:
1 Na 0.000 0.000 0.000
2 Sr 0.115 0.738 0.271
3 Sr 0.262 0.729 0.885
4 Sr 0.271 0.115 0.738
5 Sr 0.729 0.885 0.262
6 Sr 0.738 0.271 0.115
7 Sr 0.885 0.262 0.729
8 Ca 0.049 0.152 0.374
9 Ca 0.152 0.374 0.049
10 Ca 0.204 0.473 0.554
11 Ca 0.374 0.049 0.152
12 Ca 0.446 0.796 0.527
13 Ca 0.473 0.554 0.204
14 Ca 0.527 0.446 0.796
15 Ca 0.554 0.204 0.473
16 Ca 0.626 0.951 0.848
17 Ca 0.796 0.527 0.446
18 Ca 0.848 0.626 0.951
19 Ca 0.951 0.848 0.626

Here is a relaxed structure of Na2SrCa2 from the Alexandria database. Energies are from PBE-GGA.

Results
- Theoretical density: 1.7 g cm⁻³
- DOS(E_F): 4.9 states/eV/cell
- Energy above the lowest structure with this stoichiometry: 36 meV per atom
- Energy relative to the elements: 69 meV/atom
- E: -1.596 eV/atom

Lattice parameters (Å, degrees): 9.990 9.990 4.239 90.00 90.00 90.00
Fractional positions:
1 Na 0.124 0.376 0.000
2 Na 0.376 0.876 0.000
3 Na 0.624 0.124 0.000
4 Na 0.876 0.624 0.000
5 Sr 0.000 0.000 0.000
6 Sr 0.500 0.500 0.000
7 Ca 0.172 0.672 0.500
8 Ca 0.328 0.172 0.500
9 Ca 0.672 0.828 0.500
10 Ca 0.828 0.328 0.500